1.
{"formula": "NbAl2H2", "functional": "PBE", "state": "relaxed", "total_energy_ev_per_cell": -48.0, "lattice_angstrom": [[-3.9936, -3.8799, -0.1758], [0.8519, -0.6291, -5.4692], [2.5596, -2.6666, 0.7054]], "species": ["H", "H", "H", "H", "Nb", "Nb", "Al", "Al", "Al", "Al"], "frac_coords": [[0.7990, 0.7010, 0.0000], [0.7010, 0.2010, 0.0000], [0.2010, 0.2990, 0.0000], [0.2990, 0.7990, 0.0000], [0.5000, 0.5000, 0.0000], [0.0000, 0.0000, 0.0000], [0.6862, 0.8138, 0.5000], [0.1862, 0.6862, 0.5000], [0.3138, 0.1862, 0.5000], [0.8138, 0.3138, 0.5000]]}

2.
{"formula": "Os7Rh", "functional": "PBE", "state": "relaxed", "delta_e_f_ev_per_atom": 0.1627, "lattice_angstrom": [[0.0000, 3.8569, 3.8569], [3.8569, 0.0000, 3.8569], [3.8569, 3.8569, 0.0000]], "species": ["Os", "Os", "Os", "Os", "Os", "Os", "Os", "Rh"], "frac_coords": [[0.5000, 0.5000, 0.5000], [0.5000, 0.0000, 0.0000], [0.0000, 0.5000, 0.0000], [0.5000, 0.0000, 0.5000], [0.5000, 0.5000, 0.0000], [0.0000, 0.5000, 0.5000], [0.0000, 0.0000, 0.5000], [0.0000, 0.0000, 0.0000]]}

3.
{"formula": "Cs2BiPb2", "functional": "PBE", "state": "relaxed", "delta_e_f_ev_per_atom": 0.2065, "lattice_angstrom": [[-4.9458, -1.8668, 0.0311], [1.8644, -4.9427, -0.2015], [-1.3853, -3.6799, 8.1024]], "species": ["Bi", "Cs", "Cs", "Pb", "Pb"], "frac_coords": [[0.0000, 0.0000, 0.0000], [0.7500, 0.2500, 0.5000], [0.2500, 0.7500, 0.5000], [0.5840, 0.5840, 0.8319], [0.4160, 0.4160, 0.1681]]}

What did we get for total moment? Answer: 0.0000 0.0000 0.0000 μB/atom, in the order shown.